1.
{"formula": "La2MgIrRh", "functional": "PBE-GGA", "state": "optimized geometry", "volume_a3_per_cell": 145, "formation_enthalpy_0k_mev_per_atom": -139.5, "cell": [[5.445, 0.000, 0.000], [0.000, 5.445, 0.000], [0.000, 0.000, 4.884]], "species": ["La", "La", "Mg", "Ir", "Rh"], "frac_coords": [[0.000, 0.500, 0.000], [0.500, 0.000, 0.000], [0.000, 0.000, 0.500], [0.000, 0.000, 0.000], [0.500, 0.500, 0.500]]}

=====

2.
{"formula": "La2MgSbIr", "functional": "PBE-GGA", "state": "optimized geometry", "raw_formation_energy_mev_per_atom": -700, "volume_a3_per_cell": 152, "cell": [[5.499, 0.000, 0.000], [0.000, 5.499, 0.000], [0.000, 0.000, 5.039]], "species": ["La", "La", "Mg", "Sb", "Ir"], "frac_coords": [[0.000, 0.500, 0.000], [0.500, 0.000, 0.000], [0.000, 0.000, 0.500], [0.500, 0.500, 0.500], [0.000, 0.000, 0.000]]}

=====

3.
{"formula": "La2MgSi4Ir3", "functional": "PBE-GGA", "state": "optimized geometry", "raw_formation_energy_mev_per_atom": -866, "volume_a3_per_cell": 186, "cell": [[4.264, 0.000, 0.000], [0.000, 4.264, 0.000], [0.000, 0.000, 10.224]], "species": ["La", "La", "Mg", "Si", "Si", "Si", "Si", "Ir", "Ir", "Ir"], "frac_coords": [[0.000, 0.500, 0.238], [0.500, 0.000, 0.762], [0.000, 0.000, 0.500], [0.000, 0.000, 0.000], [0.000, 0.500, 0.644], [0.500, 0.000, 0.356], [0.500, 0.500, 0.000], [0.000, 0.500, 0.881], [0.500, 0.000, 0.119], [0.500, 0.500, 0.500]]}

=====

4.
{"formula": "LaMg2Si2Ir", "functional": "PBE-GGA", "state": "optimized geometry", "raw_formation_energy_mev_per_atom": -18, "volume_a3_per_cell": 139, "cell": [[-2.509, 2.509, 5.539], [2.509, -2.509, 5.539], [2.509, 2.509, -5.539]], "species": ["La", "Mg", "Mg", "Si", "Si", "Ir"], "frac_coords": [[0.000, 0.000, 0.000], [0.250, 0.750, 0.500], [0.750, 0.250, 0.500], [0.295, 0.295, 0.000], [0.705, 0.705, 0.000], [0.500, 0.500, 0.000]]}

=====

5.
{"formula": "LaMg2SiIr", "functional": "PBE-GGA", "state": "optimized geometry", "raw_formation_energy_mev_per_atom": -2, "volume_a3_per_cell": 134, "cell": [[4.982, 0.000, 0.000], [0.000, 4.982, 0.000], [0.000, 0.000, 5.400]], "species": ["La", "Mg", "Mg", "Si", "Ir"], "frac_coords": [[0.000, 0.000, 0.000], [0.000, 0.500, 0.500], [0.500, 0.000, 0.500], [0.500, 0.500, 0.000], [0.000, 0.000, 0.500]]}

=====

6.
{"formula": "LaMg2SiIr2", "functional": "PBE-GGA", "state": "optimized geometry", "raw_formation_energy_mev_per_atom": -366, "volume_a3_per_cell": 128, "cell": [[4.573, 0.000, 0.000], [0.000, 4.573, 0.000], [0.000, 0.000, 6.102]], "species": ["La", "Mg", "Mg", "Si", "Ir", "Ir"], "frac_coords": [[0.000, 0.000, 0.000], [0.500, 0.500, 0.248], [0.500, 0.500, 0.752], [0.000, 0.000, 0.500], [0.000, 0.500, 0.500], [0.500, 0.000, 0.500]]}

=====

7.
{"formula": "La2MgSn4Ir3", "functional": "PBE-GGA", "state": "optimized geometry", "volume_a3_per_cell": 231, "formation_enthalpy_0k_mev_per_atom": -580.6, "cell": [[4.520, 0.000, 0.000], [0.000, 4.520, 0.000], [0.000, 0.000, 11.310]], "species": ["La", "La", "Mg", "Sn", "Sn", "Sn", "Sn", "Ir", "Ir", "Ir"], "frac_coords": [[0.000, 0.500, 0.238], [0.500, 0.000, 0.762], [0.000, 0.000, 0.500], [0.000, 0.000, 0.000], [0.000, 0.500, 0.641], [0.500, 0.000, 0.359], [0.500, 0.500, 0.000], [0.000, 0.500, 0.872], [0.500, 0.000, 0.128], [0.500, 0.500, 0.500]]}

=====

8.
{"formula": "SrLaMg2Ir", "functional": "PBE-GGA", "state": "optimized geometry", "volume_a3_per_cell": 152, "formation_enthalpy_0k_mev_per_atom": -290.3, "cell": [[5.327, 0.000, 0.000], [0.000, 5.327, 0.000], [0.000, 0.000, 5.371]], "species": ["Sr", "La", "Mg", "Mg", "Ir"], "frac_coords": [[0.000, 0.000, 0.000], [0.500, 0.500, 0.000], [0.000, 0.500, 0.500], [0.500, 0.000, 0.500], [0.500, 0.500, 0.500]]}

=====

9.
{"formula": "Sr2LaMgIr", "functional": "PBE-GGA", "state": "optimized geometry", "volume_a3_per_cell": 194, "formation_enthalpy_0k_mev_per_atom": -198.4, "cell": [[5.966, 0.000, 0.000], [0.000, 5.966, 0.000], [0.000, 0.000, 5.456]], "species": ["Sr", "Sr", "La", "Mg", "Ir"], "frac_coords": [[0.000, 0.500, 0.000], [0.500, 0.000, 0.000], [0.000, 0.000, 0.500], [0.500, 0.500, 0.500], [0.000, 0.000, 0.000]]}

=====

10.
{"formula": "LaTbMgIr", "functional": "PBE-GGA", "state": "optimized geometry", "volume_a3_per_cell": 97, "formation_enthalpy_0k_mev_per_atom": -352.4, "cell": [[0.000, 3.652, 3.652], [3.652, 0.000, 3.652], [3.652, 3.652, 0.000]], "species": ["La", "Tb", "Mg", "Ir"], "frac_coords": [[0.000, 0.000, 0.000], [0.500, 0.500, 0.500], [0.250, 0.250, 0.250], [0.750, 0.750, 0.750]]}

=====

11.
{"formula": "La2MgTeIr", "functional": "PBE-GGA", "state": "optimized geometry", "raw_formation_energy_mev_per_atom": -815, "volume_a3_per_cell": 154, "cell": [[5.513, 0.000, 0.000], [0.000, 5.513, 0.000], [0.000, 0.000, 5.070]], "species": ["La", "La", "Mg", "Te", "Ir"], "frac_coords": [[0.000, 0.500, 0.000], [0.500, 0.000, 0.000], [0.000, 0.000, 0.500], [0.500, 0.500, 0.500], [0.000, 0.000, 0.000]]}

=====

12.
{"formula": "LaMg2TlIr", "functional": "PBE-GGA", "state": "optimized geometry", "volume_a3_per_cell": 143, "formation_enthalpy_0k_mev_per_atom": -293.4, "cell": [[5.147, 0.000, 0.000], [0.000, 5.147, 0.000], [0.000, 0.000, 5.390]], "species": ["La", "Mg", "Mg", "Tl", "Ir"], "frac_coords": [[0.000, 0.000, 0.000], [0.000, 0.500, 0.500], [0.500, 0.000, 0.500], [0.500, 0.500, 0.000], [0.000, 0.000, 0.500]]}

=====

13.
{"formula": "LaTmMgIr", "functional": "PBE-GGA", "state": "optimized geometry", "volume_a3_per_cell": 95, "formation_enthalpy_0k_mev_per_atom": -376.5, "cell": [[0.000, 3.623, 3.623], [3.623, 0.000, 3.623], [3.623, 3.623, 0.000]], "species": ["La", "Tm", "Mg", "Ir"], "frac_coords": [[0.000, 0.000, 0.000], [0.500, 0.500, 0.500], [0.750, 0.750, 0.750], [0.250, 0.250, 0.250]]}

=====

14.
{"formula": "LaY2MgIr", "functional": "PBE-GGA", "state": "optimized geometry", "volume_a3_per_cell": 166, "formation_enthalpy_0k_mev_per_atom": -289.7, "cell": [[5.480, 0.000, 0.000], [0.000, 5.480, 0.000], [0.000, 0.000, 5.529]], "species": ["La", "Y", "Y", "Mg", "Ir"], "frac_coords": [[0.000, 0.000, 0.000], [0.000, 0.500, 0.500], [0.500, 0.000, 0.500], [0.500, 0.500, 0.000], [0.000, 0.000, 0.500]]}

=====

15.
{"formula": "LaY2MgIr", "functional": "PBE-GGA", "state": "optimized geometry", "volume_a3_per_cell": 152, "formation_enthalpy_0k_mev_per_atom": -252.1, "cell": [[5.375, 0.000, 0.000], [0.000, 5.375, 0.000], [0.000, 0.000, 5.259]], "species": ["La", "Y", "Y", "Mg", "Ir"], "frac_coords": [[0.000, 0.000, 0.000], [0.000, 0.500, 0.500], [0.500, 0.000, 0.500], [0.500, 0.500, 0.000], [0.500, 0.500, 0.500]]}

=====

16.
{"formula": "LaMg2ZnIr", "functional": "PBE-GGA", "state": "optimized geometry", "volume_a3_per_cell": 120, "formation_enthalpy_0k_mev_per_atom": -188.8, "cell": [[4.935, 0.000, 0.000], [0.000, 4.935, 0.000], [0.000, 0.000, 4.922]], "species": ["La", "Mg", "Mg", "Zn", "Ir"], "frac_coords": [[0.000, 0.000, 0.000], [0.000, 0.500, 0.500], [0.500, 0.000, 0.500], [0.500, 0.500, 0.000], [0.500, 0.500, 0.500]]}

=====

17.
{"formula": "LaMgZn2Ir", "functional": "PBE-GGA", "state": "optimized geometry", "volume_a3_per_cell": 103, "formation_enthalpy_0k_mev_per_atom": -431.9, "cell": [[-1.983, 2.088, 6.226], [1.983, -2.088, 6.226], [1.983, 2.088, -6.226]], "species": ["La", "Mg", "Zn", "Zn", "Ir"], "frac_coords": [[0.000, 0.000, 0.000], [0.274, 0.774, 0.500], [0.630, 0.630, 0.000], [0.779, 0.279, 0.500], [0.425, 0.425, 0.000]]}

=====

18.
{"formula": "LaMgZn2Ir", "functional": "PBE-GGA", "state": "optimized geometry", "volume_a3_per_cell": 115, "formation_enthalpy_0k_mev_per_atom": -223.3, "cell": [[4.866, 0.000, 0.000], [0.000, 4.866, 0.000], [0.000, 0.000, 4.849]], "species": ["La", "Mg", "Zn", "Zn", "Ir"], "frac_coords": [[0.000, 0.000, 0.000], [0.500, 0.500, 0.000], [0.000, 0.500, 0.500], [0.500, 0.000, 0.500], [0.500, 0.500, 0.500]]}

=====

19.
{"formula": "LaMn2Ir", "functional": "PBE-GGA", "state": "optimized geometry", "volume_a3_per_cell": 69, "formation_enthalpy_0k_mev_per_atom": 251.9, "cell": [[4.590, 0.000, 0.000], [0.000, 4.590, 0.000], [0.000, 0.000, 3.292]], "species": ["La", "Mn", "Mn", "Ir"], "frac_coords": [[0.000, 0.000, 0.000], [0.000, 0.500, 0.500], [0.500, 0.000, 0.500], [0.500, 0.500, 0.000]]}

=====

20.
{"formula": "LaMn2Ir", "functional": "PBE-GGA", "state": "optimized geometry", "volume_a3_per_cell": 64, "formation_enthalpy_0k_mev_per_atom": 551.8, "cell": [[0.000, 3.169, 3.169], [3.169, 0.000, 3.169], [3.169, 3.169, 0.000]], "species": ["La", "Mn", "Mn", "Ir"], "frac_coords": [[0.000, 0.000, 0.000], [0.250, 0.250, 0.250], [0.750, 0.750, 0.750], [0.500, 0.500, 0.500]]}

=====

21.
{"formula": "LaMnIr2", "functional": "PBE-GGA", "state": "optimized geometry", "volume_a3_per_cell": 85, "formation_enthalpy_0k_mev_per_atom": -271.7, "cell": [[3.833, -2.203, 0.000], [3.833, 2.203, 0.000], [-2.525, 0.000, 5.031]], "species": ["La", "Mn", "Ir", "Ir"], "frac_coords": [[0.000, 0.000, 0.000], [0.804, 0.804, 0.411], [0.191, 0.191, 0.574], [0.513, 0.513, 0.541]]}

=====

22.
{"formula": "La3MnIr", "functional": "PBE-GGA", "state": "optimized geometry", "volume_a3_per_cell": 177, "formation_enthalpy_0k_mev_per_atom": 32.7, "cell": [[5.614, 0.000, 0.000], [0.000, 5.614, 0.000], [0.000, 0.000, 5.614]], "species": ["La", "La", "La", "Mn", "Ir"], "frac_coords": [[0.000, 0.000, 0.500], [0.000, 0.500, 0.000], [0.500, 0.000, 0.000], [0.500, 0.500, 0.500], [0.000, 0.000, 0.000]]}

=====

23.
{"formula": "La2MnIr", "functional": "PBE-GGA", "state": "optimized geometry", "volume_a3_per_cell": 102, "formation_enthalpy_0k_mev_per_atom": -23.9, "cell": [[3.425, 0.000, 0.000], [0.000, 3.425, 0.000], [0.000, 0.000, 8.725]], "species": ["La", "La", "Mn", "Ir"], "frac_coords": [[0.000, 0.000, 0.000], [0.500, 0.500, 0.402], [0.000, 0.000, 0.648], [0.500, 0.500, 0.792]]}

=====

24.
{"formula": "LaMnIr2", "functional": "PBE-GGA", "state": "optimized geometry", "volume_a3_per_cell": 72, "formation_enthalpy_0k_mev_per_atom": 411.7, "cell": [[0.000, 3.308, 3.308], [3.308, 0.000, 3.308], [3.308, 3.308, 0.000]], "species": ["La", "Mn", "Ir", "Ir"], "frac_coords": [[0.000, 0.000, 0.000], [0.500, 0.500, 0.500], [0.250, 0.250, 0.250], [0.750, 0.750, 0.750]]}

=====

25.
{"formula": "LaMn2Ir", "functional": "PBE-GGA", "state": "optimized geometry", "volume_a3_per_cell": 76, "formation_enthalpy_0k_mev_per_atom": 509.2, "cell": [[1.508, 0.871, 9.644], [-1.508, 0.871, 9.644], [0.000, -1.742, 9.644]], "species": ["La", "Mn", "Mn", "Ir"], "frac_coords": [[0.000, 0.000, 0.000], [0.235, 0.235, 0.235], [0.765, 0.765, 0.765], [0.500, 0.500, 0.500]]}

=====

26.
{"formula": "LaMn2Ir", "functional": "PBE-GGA", "state": "optimized geometry", "volume_a3_per_cell": 80, "formation_enthalpy_0k_mev_per_atom": 126.4, "cell": [[-1.732, 2.354, 4.881], [1.732, -2.354, 4.881], [1.732, 2.354, -4.881]], "species": ["La", "Mn", "Mn", "Ir"], "frac_coords": [[0.000, 0.000, 0.000], [0.282, 0.782, 0.500], [0.718, 0.218, 0.500], [0.500, 0.500, 0.000]]}

=====

27.
{"formula": "LaMn2Ir", "functional": "PBE-GGA", "state": "optimized geometry", "volume_a3_per_cell": 81, "formation_enthalpy_0k_mev_per_atom": -123.6, "cell": [[3.634, -2.097, 0.000], [3.634, 2.097, 0.000], [-2.413, 0.000, 5.335]], "species": ["La", "Mn", "Mn", "Ir"], "frac_coords": [[0.000, 0.000, 0.000], [0.189, 0.189, 0.565], [0.512, 0.512, 0.533], [0.786, 0.786, 0.356]]}

=====

28.
{"formula": "La2MnIr", "functional": "PBE-GGA", "state": "optimized geometry", "volume_a3_per_cell": 96, "formation_enthalpy_0k_mev_per_atom": -147.2, "cell": [[5.089, 0.000, 0.000], [0.000, 5.089, 0.000], [0.000, 0.000, 3.696]], "species": ["La", "La", "Mn", "Ir"], "frac_coords": [[0.000, 0.500, 0.000], [0.500, 0.000, 0.000], [0.000, 0.000, 0.500], [0.500, 0.500, 0.500]]}

=====

29.
{"formula": "LaMn2Ir2", "functional": "PBE-GGA", "state": "optimized geometry", "volume_a3_per_cell": 85, "formation_enthalpy_0k_mev_per_atom": -135.6, "cell": [[-2.081, 2.081, 4.884], [2.081, -2.081, 4.884], [2.081, 2.081, -4.884]], "species": ["La", "Mn", "Mn", "Ir", "Ir"], "frac_coords": [[0.000, 0.000, 0.000], [0.398, 0.398, 0.000], [0.602, 0.602, 0.000], [0.250, 0.750, 0.500], [0.750, 0.250, 0.500]]}